[1]
This record from the Alexandria database describes a relaxed Nd4ErIn5 crystal. The functional is GGA-PBE.

Results
formation enthalpy at 0 K: -0.4865 eV/atom
space-group type: P4/mmm, No. 123
D(E_F): 5.50 states/eV/f.u.

```
Nd4ErIn5
1.0
3.831 0.000 0.000
0.000 3.831 0.000
0.000 0.000 19.402
Nd Er In
4 1 5
Cartesian
0.000 0.000 3.760
0.000 0.000 7.724
0.000 0.000 11.678
0.000 0.000 15.642
0.000 0.000 0.000
1.915 1.915 1.761
1.915 1.915 5.743
1.915 1.915 9.701
1.915 1.915 13.659
1.915 1.915 17.640
```

=====

[2]
This record from the Alexandria database describes a relaxed Li3MgPd crystal. The functional is GGA-PBE.

Results
formation enthalpy at 0 K: -0.2470 eV/atom
distance to the lowest polymorph of the same formula: 31 meV/atom
space-group type: P2/c, No. 13
D(E_F): 1.94 states/eV/f.u.

```
Li3MgPd
1.0
6.985 0.000 1.168
0.000 5.661 0.000
1.148 0.000 8.948
Li Mg Pd
12 4 4
Cartesian
4.161 1.406 5.087
3.587 4.254 0.613
2.801 2.929 7.442
0.781 3.885 0.881
2.227 2.732 2.968
3.973 4.254 5.029
6.779 3.885 4.761
5.907 2.929 7.148
7.353 1.776 9.235
5.333 2.732 2.674
4.547 1.406 9.503
1.355 1.776 5.355
2.137 5.616 3.065
5.423 5.616 2.577
2.711 0.045 7.539
5.997 0.045 7.051
0.889 1.141 0.968
1.463 4.519 5.442
6.670 1.141 4.674
7.245 4.519 9.148
```

=====

[3]
This record from the Alexandria database describes a relaxed Pr5Ho12Er2 crystal. The functional is GGA-PBE.

Results
formation enthalpy at 0 K: 0.1809 eV/atom
distance to the lowest polymorph of the same formula: 158 meV/atom
space-group type: C2/m, No. 12
D(E_F): 27.81 states/eV/f.u.

```
Pr5Ho12Er2
1.0
-5.517 4.092 -1.611
-1.749 -9.390 -2.416
-5.586 -4.585 7.481
Pr Ho Er
5 12 2
Cartesian
-6.260 -6.498 4.929
-4.055 -5.656 -0.483
-2.793 -2.293 3.740
-8.797 -4.227 3.937
-6.591 -3.385 -1.476
-8.415 -6.065 -2.038
-6.538 -10.038 4.691
-9.324 -7.972 3.878
-4.573 -8.342 2.117
-7.304 -6.317 1.319
-8.282 -10.437 1.851
-4.569 0.553 1.603
-8.278 -1.541 1.337
-5.547 -3.567 2.134
-6.313 0.155 -1.237
-3.527 -1.911 -0.424
-4.436 -3.818 5.492
-4.010 2.974 -1.171
-1.507 1.118 -0.440
```

=====

[4]
This record from the Alexandria database describes a relaxed KTa2Se crystal. The functional is GGA-PBE.

Results
uncorrected formation energy: 0.75 eV/atom
space-group type: Cmmm, No. 65
D(E_F): 3.34 states/eV/f.u.

```
KTa2Se
1.0
3.050 0.002 0.000
-1.345 2.738 0.000
0.000 0.000 10.633
K Se Ta
1 1 2
Cartesian
0.853 1.370 2.658
0.853 1.370 7.975
0.000 0.000 10.052
0.000 0.000 5.898
```

=====

[5]
This record from the Alexandria database describes a relaxed Pr2Ho3Tl6 crystal. The functional is GGA-PBE.

Results
formation enthalpy at 0 K: 0.1670 eV/atom
space-group type: I4/mmm, No. 139
D(E_F): 13.16 states/eV/f.u.

```
Pr2Ho3Tl6
1.0
-5.128 -2.627 1.631
2.476 -5.380 -0.883
4.848 3.848 10.449
Pr Ho Tl
2 3 6
Cartesian
2.932 -0.130 9.009
-0.736 -4.030 2.187
0.000 0.000 0.000
1.224 -4.117 8.210
0.972 -0.043 2.987
1.725 -2.712 1.056
-2.077 -1.335 2.313
0.470 -1.448 10.140
4.272 -2.825 8.883
0.262 -4.074 5.253
1.934 -0.086 5.943
```

=====

[6]
This record from the Alexandria database describes a relaxed CaGa2Os crystal. The functional is GGA-PBE.

Results
formation enthalpy at 0 K: -0.0591 eV/atom
space-group type: Fm-3m, No. 225
D(E_F): 3.72 states/eV/f.u.

```
CaGa2Os
1.0
0.000 3.244 3.244
3.244 0.000 3.244
3.244 3.244 0.000
Ca Os Ga
1 1 2
Cartesian
0.000 0.000 0.000
3.244 3.244 3.244
1.622 1.622 1.622
4.866 4.866 4.866
```

=====

[7]
This record from the Alexandria database describes a relaxed SrCaNd crystal. The functional is GGA-PBE.

Results
formation enthalpy at 0 K: 0.1103 eV/atom
distance to the lowest polymorph of the same formula: 35 meV/atom
space-group type: P3m1, No. 156
D(E_F): 5.34 states/eV/f.u.

```
SrCaNd
1.0
3.887 0.000 0.000
-1.943 3.366 0.000
0.000 0.000 9.667
Sr Ca Nd
1 1 1
Cartesian
0.000 0.000 0.047
0.000 2.244 6.327
1.943 1.122 3.293
```

=====

[8]
This record from the Alexandria database describes a relaxed Pm12In6Ir crystal. The functional is GGA-PBE.

Results
formation enthalpy at 0 K: -0.2638 eV/atom
space-group type: R-3, No. 148
D(E_F): 20.90 states/eV/f.u.

```
Pm12In6Ir
1.0
-2.659 6.116 5.250
-6.024 1.539 -5.778
-4.467 -6.081 3.887
Pm In Ir
12 6 1
Cartesian
-7.574 3.015 2.673
-8.562 0.541 -0.035
-7.811 -0.690 3.479
-5.575 -1.441 0.686
-4.587 1.033 3.394
-5.338 2.264 -0.121
-4.596 4.183 5.849
-6.596 6.466 0.916
-5.982 -1.327 6.972
-8.553 -2.609 -2.490
-6.552 -4.892 2.443
-7.167 2.901 -3.613
-8.159 3.739 -0.468
-4.594 4.159 2.415
-6.279 -0.095 -2.190
-4.990 -2.165 3.827
-8.555 -2.586 0.944
-6.869 1.669 5.549
0.000 0.000 0.000
```

=====

Number 1: volume 28.5 A^3/atom, magnetic moment 0.00 Bohr magnetons per cell. Number 2: volume 17.3 A^3/atom, magnetic moment 0.00 Bohr magnetons per cell. Number 3: volume 33.1 A^3/atom, magnetic moment 0.00 Bohr magnetons per cell. Number 4: volume 22.2 A^3/atom, magnetic moment 0.00 Bohr magnetons per cell. Number 5: volume 37.1 A^3/atom, magnetic moment 0.00 Bohr magnetons per cell. Number 6: volume 17.1 A^3/atom, magnetic moment 0.00 Bohr magnetons per cell. Number 7: volume 42.2 A^3/atom, magnetic moment 0.00 Bohr magnetons per cell. Number 8: volume 31.9 A^3/atom, magnetic moment 0.00 Bohr magnetons per cell.